[1]
{
  "formula": "TcSb2WI",
  "functional": "PBE-GGA",
  "state": "relaxed",
  "polymorph_energy_mev_per_atom": 0,
  "spacegroup": "P4/mmm (123)",
  "raw_formation_energy_ev_per_atom": 1.4839,
  "cell": [[5.1992, 0.0000, 0.0000], [0.0000, 5.1992, 0.0000], [0.0000, 0.0000, 5.7716]],
  "species": ["Tc", "Sb", "Sb", "W", "I"],
  "fractional_positions": [[0.0000, 0.0000, 0.0000], [0.0000, 0.5000, 0.5000], [0.5000, 0.0000, 0.5000], [0.5000, 0.5000, 0.5000], [0.5000, 0.5000, 0.0000]]
}



[2]
{
  "formula": "Ho6PdSe5",
  "functional": "PBE-GGA",
  "state": "relaxed",
  "spacegroup": "C2/m (12)",
  "raw_formation_energy_ev_per_atom": -1.6002,
  "cell": [[3.5309, -6.1211, 0.0000], [3.5309, 6.1211, 0.0000], [-2.3773, 0.0000, 6.6280]],
  "species": ["Ho", "Ho", "Ho", "Ho", "Ho", "Ho", "Pd", "Se", "Se", "Se", "Se", "Se"],
  "fractional_positions": [[0.0781, 0.4042, 0.2410], [0.2428, 0.2428, 0.7526], [0.4042, 0.0781, 0.2410], [0.5958, 0.9219, 0.7590], [0.7572, 0.7572, 0.2474], [0.9219, 0.5958, 0.7590], [0.0000, 0.0000, 0.0000], [0.1736, 0.8264, 0.5000], [0.3352, 0.6648, 0.0000], [0.5000, 0.5000, 0.5000], [0.6648, 0.3352, 0.0000], [0.8264, 0.1736, 0.5000]]
}



[3]
{
  "formula": "CaIn2Pd",
  "functional": "PBE-GGA",
  "state": "relaxed",
  "e_form_ev_per_fu": -2.45,
  "spacegroup": "Cmcm (63)",
  "cell": [[2.2514, -5.1930, 0.0000], [2.2514, 5.1930, 0.0000], [0.0000, 0.0000, 7.9317]],
  "species": ["Ca", "Ca", "In", "In", "In", "In", "Pd", "Pd"],
  "fractional_positions": [[0.0666, 0.9334, 0.7500], [0.9334, 0.0666, 0.2500], [0.3563, 0.6437, 0.5529], [0.3563, 0.6437, 0.9471], [0.6437, 0.3563, 0.0529], [0.6437, 0.3563, 0.4471], [0.2172, 0.7828, 0.2500], [0.7828, 0.2172, 0.7500]]
}



[4]
{
  "formula": "KAsCl2",
  "functional": "PBE-GGA",
  "state": "relaxed",
  "polymorph_energy_mev_per_atom": 214,
  "spacegroup": "Pmm2 (25)",
  "raw_formation_energy_ev_per_atom": -0.6131,
  "cell": [[3.5010, 0.0000, 0.0000], [0.0000, 5.3254, 0.0000], [0.0000, 0.0000, 5.9138]],
  "species": ["K", "As", "Cl", "Cl"],
  "fractional_positions": [[0.0000, 0.0000, 0.0000], [0.5000, 0.5000, 0.4824], [0.0000, 0.0000, 0.5003], [0.5000, 0.5000, 0.0813]]
}



[5]
{
  "formula": "SrCd2SeO2",
  "functional": "PBE-GGA",
  "state": "relaxed",
  "spacegroup": "P2_1/m (11)",
  "raw_formation_energy_ev_per_atom": -1.3134,
  "cell": [[8.0931, 0.0000, 0.0000], [0.0000, 6.2954, 0.0000], [-2.5756, 0.0000, 7.8109]],
  "species": ["Sr", "Sr", "Cd", "Cd", "Cd", "Cd", "Se", "Se", "O", "O", "O", "O"],
  "fractional_positions": [[0.0821, 0.2500, 0.4197], [0.9179, 0.7500, 0.5803], [0.2278, 0.2500, 0.8553], [0.3597, 0.7500, 0.7307], [0.6403, 0.2500, 0.2693], [0.7722, 0.7500, 0.1447], [0.3119, 0.2500, 0.1783], [0.6881, 0.7500, 0.8217], [0.1655, 0.0001, 0.6639], [0.1655, 0.4999, 0.6639], [0.8345, 0.9999, 0.3361], [0.8345, 0.5001, 0.3361]]
}



[6]
{
  "formula": "MgSb2Pt",
  "functional": "PBE-GGA",
  "state": "relaxed",
  "spacegroup": "P2/m (10)",
  "raw_formation_energy_ev_per_atom": -0.3370,
  "cell": [[5.2682, 0.0000, 0.0000], [0.0000, 4.1777, 0.0000], [-2.6192, 0.0000, 4.7601]],
  "species": ["Mg", "Sb", "Sb", "Pt"],
  "fractional_positions": [[0.0000, 0.0000, 0.0000], [0.3247, 0.5000, 0.6506], [0.6753, 0.5000, 0.3494], [0.5000, 0.0000, 0.0000]]
}



Calculated DFT total energy (eV per atom), listed in the same order as above: -5.1389; -5.7737; -3.7815; -2.9732; -4.1322; -4.3070